A plane-wave DFT calculation with GGA-PBE was carried out for Cs2PHSe4 after structural relaxation.

Properties
calculated density	3.7	Mg/m³
final energy	-3.214	eV per atom
DOS(E_F)	7.68	states/eV per cell

Unit cell a=9.4287 b=9.4287 c=9.3032 alpha=123.17 beta=123.17 gamma=85.61
Sites, in units of the cell vectors:
Cs (0.5000, 0.0000, 0.0000)
Cs (0.5000, 0.0000, 0.5000)
Cs (0.0000, 0.0000, 0.5000)
Cs (0.5000, 0.5000, 0.0000)
P (0.5000, 0.5000, 0.5000)
P (0.0000, 0.0000, 0.0000)
H (0.0000, 0.5000, 0.0000)
H (0.0000, 0.5000, 0.5000)
Se (0.0464, 0.7152, 0.0654)
Se (0.7848, 0.4536, 0.4346)
Se (0.2152, 0.5464, 0.5654)
Se (0.9536, 0.2848, 0.9346)
Se (0.7289, 0.6806, 0.8927)
Se (0.8193, 0.7711, 0.6073)
Se (0.1806, 0.2289, 0.3927)
Se (0.2711, 0.3194, 0.1073)